Pu2BHRh6 | GGA-PBE | relaxed

Computed properties:
The raw total energy is -0.6445 Ry per atom.

Lattice parameters (Å, degrees): 5.878 5.878 5.878 120.03 119.98 89.99
Sites, in units of the cell vectors:
Pu  0.249  0.249  0.000
Pu  0.751  0.751  0.000
B  0.000  0.500  0.500
H  0.500  0.000  0.500
Rh  0.254  0.754  0.500
Rh  0.255  0.246  0.501
Rh  0.255  0.754  0.009
Rh  0.745  0.246  0.991
Rh  0.745  0.754  0.499
Rh  0.746  0.246  0.500